# Na4LiSi2 | Alexandria via LeMat-Bulk | PBE | optimized geometry
# energy relative to the elements, uncorrected = 2.3 eV per formula unit
# volume = 31.428 Å³/atom
# DOS at the Fermi energy = 5.596 states/eV/cell
data_Na4LiSi2
_symmetry_space_group_name_H-M 'I 4/m m m'
_symmetry_Int_Tables_number 139
_symmetry_space_group_name_Hall '-I 4 2'
_cell_length_a 5.549
_cell_length_b 5.549
_cell_length_c 14.288
_cell_angle_alpha 90.00
_cell_angle_beta 90.00
_cell_angle_gamma 90.00
loop_
_atom_site_label
_atom_site_type_symbol
_atom_site_fract_x
_atom_site_fract_y
_atom_site_fract_z
Na1 Na 0.000 0.000 0.217
Na2 Na 0.000 0.500 0.000
Li1 Li 0.000 0.000 0.000
Si1 Si 0.000 0.000 0.420